Record 1
# SrCd4Ag2 (PBE, optimized geometry)
# Crystal system: tetragonal
data_SrCd4Ag2
_cell_length_a 8.695
_cell_length_b 8.695
_cell_length_c 5.899
_cell_angle_alpha 90.00
_cell_angle_beta 90.00
_cell_angle_gamma 90.00
_space_group_name_H-M_alt 'I 4/m m m'
_space_group_IT_number 139
_space_group_name_Hall '-I 4 2'
loop_
_atom_site_label
_atom_site_fract_x
_atom_site_fract_y
_atom_site_fract_z
_atom_site_occupancy
Sr1 0.000 0.000 0.000 1
Cd1 0.000 0.234 0.500 1
Ag1 0.000 0.500 0.250 1

---

Record 2
# SrCd2Ag (PBE, optimized geometry)
# Crystal system: monoclinic
data_SrCd2Ag
_cell_length_a 8.492
_cell_length_b 4.910
_cell_length_c 6.053
_cell_angle_alpha 90.00
_cell_angle_beta 117.93
_cell_angle_gamma 90.00
_space_group_name_H-M_alt 'C 1 m 1'
_space_group_IT_number 8
_space_group_name_Hall 'C -2y'
loop_
_atom_site_label
_atom_site_fract_x
_atom_site_fract_y
_atom_site_fract_z
_atom_site_occupancy
Sr1 0.000 0.000 0.000 1
Cd1 0.209 0.000 0.626 1
Cd2 0.476 0.000 0.428 1
Ag1 0.296 0.500 0.387 1

---

Record 3
# Sr3Cd2Ag4 (PBE, optimized geometry)
# Crystal system: monoclinic
data_Sr3Cd2Ag4
_cell_length_a 11.742
_cell_length_b 4.937
_cell_length_c 9.354
_cell_angle_alpha 90.00
_cell_angle_beta 111.53
_cell_angle_gamma 90.00
_space_group_name_H-M_alt 'C 1 2/m 1'
_space_group_IT_number 12
_space_group_name_Hall '-C 2y'
loop_
_atom_site_label
_atom_site_fract_x
_atom_site_fract_y
_atom_site_fract_z
_atom_site_occupancy
Sr1 0.000 0.000 0.000 1
Sr2 0.143 0.500 0.688 1
Cd1 0.155 0.500 0.321 1
Ag1 0.083 0.000 0.417 1
Ag2 0.227 0.500 0.062 1

---

Record 4
# SrCd2Ag (PBE, optimized geometry)
# Crystal system: tetragonal
data_SrCd2Ag
_cell_length_a 5.248
_cell_length_b 5.248
_cell_length_c 7.460
_cell_angle_alpha 90.00
_cell_angle_beta 90.00
_cell_angle_gamma 90.00
_space_group_name_H-M_alt 'I -4 m 2'
_space_group_IT_number 119
_space_group_name_Hall 'I -4 -2'
loop_
_atom_site_label
_atom_site_fract_x
_atom_site_fract_y
_atom_site_fract_z
_atom_site_occupancy
Sr1 0.000 0.000 0.000 1
Cd1 0.000 0.000 0.500 1
Cd2 0.000 0.500 0.250 1
Ag1 0.000 0.500 0.750 1

---

Record 5
# Sr3Cd2Ag7 (PBE, optimized geometry)
# Crystal system: trigonal
data_Sr3Cd2Ag7
_cell_length_a 5.9338
_cell_length_b 5.9338
_cell_length_c 28.4751
_cell_angle_alpha 90.00
_cell_angle_beta 90.00
_cell_angle_gamma 120.00
_space_group_name_H-M_alt 'R -3 m'
_space_group_IT_number 166
_space_group_name_Hall '-R 3 2"'
loop_
_atom_site_label
_atom_site_fract_x
_atom_site_fract_y
_atom_site_fract_z
_atom_site_occupancy
Sr1 0.0000 0.0000 0.0000 1
Sr2 0.0000 0.0000 0.1411 1
Cd1 0.0000 0.0000 0.3325 1
Ag1 0.0000 0.0000 0.5000 1
Ag2 0.0006 0.5003 0.9165 1

---

Record 6
# Sr2Cd2Ag (PBE, optimized geometry)
# Crystal system: monoclinic
data_Sr2Cd2Ag
_cell_length_a 11.803
_cell_length_b 4.873
_cell_length_c 12.136
_cell_angle_alpha 90.00
_cell_angle_beta 116.37
_cell_angle_gamma 90.00
_space_group_name_H-M_alt 'C 1 2/m 1'
_space_group_IT_number 12
_space_group_name_Hall '-C 2y'
loop_
_atom_site_label
_atom_site_fract_x
_atom_site_fract_y
_atom_site_fract_z
_atom_site_occupancy
Sr1 0.011 0.000 0.337 1
Sr2 0.194 0.000 0.116 1
Cd1 0.017 0.500 0.885 1
Cd2 0.148 0.500 0.559 1
Ag1 0.218 0.500 0.341 1

---

Energy of formation? In order: 0.095, -0.240, -0.305, -0.199, -0.232, -0.314 eV per atom.
Mass density? In order: 5.61, 6.26, 6.05, 6.79, 7.13, 5.40 Mg/m³.